First-principles (PBE-GGA) data for a geometry-optimized RhSe2BrN structure, as listed in Alexandria.

POSCAR file:
```
RhSe2BrN
1.0
-0.9712 -2.0573 4.2474
-3.1476 -2.9487 -2.1480
3.9439 -3.5975 -0.8407
Se Br Rh N
2 1 1 1
Direct
0.5000 0.0000 0.0000
0.0000 0.5000 0.0000
0.0000 0.0000 0.5000
0.0000 0.0000 0.0000
0.5000 0.5000 0.5000
```

The value obtained for the calculated volume is 25.09 Å³/atom. Its energy relative to the lowest polymorph listed for this composition is 0.636 eV/atom. As for the mass density: 4.7 g/cm³. As for the space group: P4/mmm, No. 123. Its density of states at the Fermi level is 4.9 states/eV/cell.